The following is a SCAN calculation of SrTi2AgHg at its PBEsol-relaxed geometry, from the Alexandria database.

a b c (Å): 5.0575 5.0575 5.8887
angles (deg): 90.00 90.00 90.00
Last column: nearest neighbours and their distance in Å.
Space group P4/mmm (No. 123)
Unique sites:
Sr 0.0000 0.0000 0.0000 (multiplicity 1)  2 Hg 2.94
Ti 0.0000 0.5000 0.5000 (multiplicity 2)  2 Hg 2.53
Ag 0.5000 0.5000 0.0000 (multiplicity 1)  4 Sr 3.58, 8 Ti 3.88
Hg 0.0000 0.0000 0.5000 (multiplicity 1)  4 Ti 2.53

Energy, eV per atom: -30.077
Density, kg/m3: 5422
Density of states at the Fermi level, states/eV/cell: 3.7
Formation energy, eV/atom: 0.6970
Size of the total moment, μB per cell: 3.7